{
  "formula": "Re3Tc7",
  "functional": "PBE",
  "state": "relaxed",
  "cell": [[4.074, 0.000, -1.097], [-0.122, 5.465, -0.454], [-0.373, 0.553, 6.736]],
  "species": ["Re", "Re", "Re", "Tc", "Tc", "Tc", "Tc", "Tc", "Tc", "Tc"],
  "fractional_positions": [[0.000, 0.000, 0.000], [0.198, 0.500, 0.396], [0.802, 0.500, 0.604], [0.000, 0.500, 0.000], [0.200, 0.000, 0.401], [0.800, 0.000, 0.599], [0.393, 0.751, 0.786], [0.607, 0.249, 0.214], [0.393, 0.249, 0.786], [0.607, 0.751, 0.214]],
  "formation_enthalpy_0k_ev_per_atom": 0.12,
  "sg": "Cmmm"
}